1.
Nd6TlZn5: optimized geometry, PBE.

Its formation energy is -0.309 eV/atom. As for the size of the total moment: 0.00 μB/atom. Its uncorrected energy is -3.42 eV per atom. The value obtained for the density of states at the Fermi level is 28.9 states/eV/cell.

The structure belongs to space group Cmmm (No. 65); the cell edges are 5.2622, 15.8704 and 7.4496 Å and the angles 90.00°, 90.00° and 90.00°. The asymmetric unit holds Nd at (0.0000, 0.0000, 0.2388), Nd at (0.0000, 0.3289, 0.2429), Tl at (0.0000, 0.5000, 0.5000), Zn at (0.0000, 0.1659, 0.0000), Zn at (0.0000, 0.1683, 0.5000) and Zn at (0.0000, 0.5000, 0.0000).



2.
Nd4TlZn: optimized geometry, PBE.

Its formation energy is -0.008 eV/atom. As for the size of the total moment: 0.00 μB/atom. Its uncorrected energy is -3.79 eV per atom. The value obtained for the density of states at the Fermi level is 10.5 states/eV/cell.

The structure belongs to space group P4/mmm (No. 123); the cell edges are 5.1925, 5.1925 and 7.4632 Å and the angles 90.00°, 90.00° and 90.00°. The asymmetric unit holds Nd at (0.0000, 0.5000, 0.2326), Tl at (0.0000, 0.0000, 0.5000) and Zn at (0.5000, 0.5000, 0.0000).



3.
NdTlZn4: optimized geometry, PBE.

Its formation energy is -0.114 eV/atom. As for the size of the total moment: 0.00 μB/atom. Its uncorrected energy is -2.15 eV per atom. The value obtained for the density of states at the Fermi level is 16.2 states/eV/cell.

The structure belongs to space group F-43m (No. 216); the cell edges are 7.8939, 7.8939 and 7.8939 Å and the angles 90.00°, 90.00° and 90.00°. The asymmetric unit holds Nd at (0.0000, 0.0000, 0.0000), Tl at (0.2500, 0.2500, 0.2500) and Zn at (0.1258, 0.1258, 0.6258).



4.
Nd5Tl2Zn: optimized geometry, PBE.

Its formation energy is -0.052 eV/atom. As for the size of the total moment: 0.00 μB/atom. Its uncorrected energy is -3.78 eV per atom. The value obtained for the density of states at the Fermi level is 26.9 states/eV/cell.

The structure belongs to space group Cmcm (No. 63); the cell edges are 5.8576, 13.1319 and 13.2173 Å and the angles 90.00°, 90.00° and 90.00°. The asymmetric unit holds Nd at (0.0000, 0.0597, 0.1099), Nd at (0.0000, 0.3774, 0.0490), Nd at (0.0000, 0.4086, 0.7500), Tl at (0.0000, 0.1981, 0.6274) and Zn at (0.0000, 0.2479, 0.2500).



5.
Nd6Tl2Zn: optimized geometry, PBE.

Its formation energy is -0.024 eV/atom. As for the size of the total moment: 0.00 μB/atom. Its uncorrected energy is -3.87 eV per atom. The value obtained for the density of states at the Fermi level is 28.5 states/eV/cell.

The structure belongs to space group Immm (No. 71); the cell edges are 5.2680, 7.4542 and 15.7030 Å and the angles 90.00°, 90.00° and 90.00°. The asymmetric unit holds Nd at (0.0000, 0.2313, 0.0000), Nd at (0.0000, 0.2575, 0.3387), Tl at (0.0000, 0.5000, 0.1649) and Zn at (0.0000, 0.5000, 0.5000).



6.
Nd7Tl2Zn: optimized geometry, PBE.

Its formation energy is 0.332 eV/atom. As for the size of the total moment: 0.00 μB/atom. Its uncorrected energy is -3.61 eV per atom. The value obtained for the density of states at the Fermi level is 36.3 states/eV/cell.

The structure belongs to space group Fm-3m (No. 225); the cell edges are 11.2107, 11.2107 and 11.2107 Å and the angles 90.00°, 90.00° and 90.00°. The asymmetric unit holds Nd at (0.0000, 0.0000, 0.0000), Nd at (0.0000, 0.0000, 0.2552), Tl at (0.2500, 0.2500, 0.2500) and Zn at (0.0000, 0.0000, 0.5000).



7.
NdTlZn: optimized geometry, PBE.

Its formation energy is 0.396 eV/atom. As for the size of the total moment: 0.00 μB/atom. Its uncorrected energy is -2.41 eV per atom. The value obtained for the density of states at the Fermi level is 4.7 states/eV/cell.

The structure belongs to space group I4mm (No. 107); the cell edges are 3.2114, 3.2114 and 17.2752 Å and the angles 90.00°, 90.00° and 90.00°. The asymmetric unit holds Nd at (0.0000, 0.0000, 0.0000), Tl at (0.0000, 0.0000, 0.8100) and Zn at (0.0000, 0.0000, 0.1749).



8.
NdTl2Zn: optimized geometry, PBE.

Its formation energy is -0.272 eV/atom. As for the size of the total moment: 0.00 μB/atom. Its uncorrected energy is -2.97 eV per atom. The value obtained for the density of states at the Fermi level is 5.2 states/eV/cell.

The structure belongs to space group I4/mmm (No. 139); the cell edges are 4.8412, 4.8412 and 17.3593 Å and the angles 90.00°, 90.00° and 90.00°. The asymmetric unit holds Nd at (0.0000, 0.0000, 0.1334), Tl at (0.0000, 0.0000, 0.3512), Tl at (0.0000, 0.5000, 0.0000) and Zn at (0.0000, 0.5000, 0.2500).



9.
Nd5Tl2Zn: optimized geometry, PBE.

Its formation energy is -0.283 eV/atom. As for the size of the total moment: 0.00 μB/atom. Its uncorrected energy is -4.01 eV per atom. The value obtained for the density of states at the Fermi level is 18.8 states/eV/cell.

The structure belongs to space group Pbam (No. 55); the cell edges are 6.9039, 13.3410 and 5.2171 Å and the angles 90.00°, 90.00° and 90.00°. The asymmetric unit holds Nd at (0.0000, 0.0000, 0.0000), Nd at (0.1135, 0.2791, 0.0000), Nd at (0.1713, 0.5957, 0.5000), Tl at (0.1378, 0.8515, 0.5000) and Zn at (0.0000, 0.5000, 0.0000).



10.
NdZrTl2: optimized geometry, PBE.

Its formation energy is -0.182 eV/atom. As for the size of the total moment: 0.00 μB/atom. Its uncorrected energy is -4.69 eV per atom. The value obtained for the density of states at the Fermi level is 4.4 states/eV/cell.

The structure belongs to space group P4/mmm (No. 123); the cell edges are 3.4115, 3.4115 and 8.8790 Å and the angles 90.00°, 90.00° and 90.00°. The asymmetric unit holds Nd at (0.0000, 0.0000, 0.0000), Zr at (0.0000, 0.0000, 0.5000) and Tl at (0.5000, 0.5000, 0.2665).



11.
NdZr2Tl: optimized geometry, PBE.

Its formation energy is -0.024 eV/atom. As for the size of the total moment: 0.00 μB/atom. Its uncorrected energy is -6.08 eV per atom. The value obtained for the density of states at the Fermi level is 2.8 states/eV/cell.

The structure belongs to space group P4/mmm (No. 123); the cell edges are 4.6633, 4.6633 and 4.6018 Å and the angles 90.00°, 90.00° and 90.00°. The asymmetric unit holds Nd at (0.0000, 0.0000, 0.0000), Zr at (0.0000, 0.5000, 0.5000) and Tl at (0.5000, 0.5000, 0.0000).



12.
NdZr2Tl: optimized geometry, PBE.

Its formation energy is 0.289 eV/atom. As for the size of the total moment: 0.00 μB/atom. Its uncorrected energy is -5.77 eV per atom. The value obtained for the density of states at the Fermi level is 17.4 states/eV/cell.

The structure belongs to space group R-3m (No. 166, hexagonal axes); the cell edges are 3.2342, 3.2342 and 34.7007 Å and the angles 90.00°, 90.00° and 120.00°. The asymmetric unit holds Nd at (0.0000, 0.0000, 0.0000), Zr at (0.0000, 0.0000, 0.0920) and Tl at (0.0000, 0.0000, 0.5000).



13.
NdZrTl2: optimized geometry, PBE.

Its formation energy is -0.128 eV/atom. As for the size of the total moment: 0.07 μB/atom. Its uncorrected energy is -4.64 eV per atom. The value obtained for the density of states at the Fermi level is 4.5 states/eV/cell.

The structure belongs to space group P4/mmm (No. 123); the cell edges are 4.8786, 4.8786 and 4.4039 Å and the angles 90.00°, 90.00° and 90.00°. The asymmetric unit holds Nd at (0.0000, 0.0000, 0.0000), Zr at (0.5000, 0.5000, 0.0000) and Tl at (0.0000, 0.5000, 0.5000).



14.
Nd6Tm: optimized geometry, PBE.

Its formation energy is 0.244 eV/atom. As for the size of the total moment: 0.00 μB/atom. Its uncorrected energy is -4.48 eV per atom. The value obtained for the density of states at the Fermi level is 16.7 states/eV/cell.

The structure belongs to space group P4/nbm (No. 125, origin choice 2); the cell edges are 6.6104, 6.6104 and 11.3732 Å and the angles 90.00°, 90.00° and 90.00°. The asymmetric unit holds Nd at (0.0815, 0.5815, 0.1397), Nd at (0.2500, 0.2500, 0.3637) and Tm at (0.2500, 0.7500, 0.5000).



15.
Nd7Tm3: optimized geometry, PBE.

Its formation energy is 0.156 eV/atom. As for the size of the total moment: 0.00 μB/atom. Its uncorrected energy is -4.52 eV per atom. The value obtained for the density of states at the Fermi level is 17.1 states/eV/cell.

The structure belongs to space group P6_3mc (No. 186); the cell edges are 11.7084, 11.7084 and 5.7627 Å and the angles 90.00°, 90.00° and 120.00°. The asymmetric unit holds Nd at (0.0488, 0.5244, 0.0000), Nd at (0.1159, 0.2318, 0.9910), Nd at (0.3333, 0.6667, 0.9840) and Tm at (0.2241, 0.4481, 0.4911).



16.
Nd4Tm3: optimized geometry, PBE.

Its formation energy is 0.105 eV/atom. As for the size of the total moment: 0.00 μB/atom. Its uncorrected energy is -4.54 eV per atom. The value obtained for the density of states at the Fermi level is 13.0 states/eV/cell.

The structure belongs to space group P-1 (No. 2); the cell edges are 5.6260, 5.6303 and 8.7445 Å and the angles 104.80°, 95.61° and 116.70°. The asymmetric unit holds Nd at (0.1376, 0.2788, 0.4164), Nd at (0.2865, 0.5753, 0.8617), Tm at (0.0000, 0.0000, 0.0000) and Tm at (0.4334, 0.8563, 0.2898).



17.
Nd6Tm: optimized geometry, PBE.

Its formation energy is 1.288 eV/atom. As for the size of the total moment: 0.00 μB/atom. Its uncorrected energy is -3.44 eV per atom. The value obtained for the density of states at the Fermi level is 11.0 states/eV/cell.

The structure belongs to space group Im-3m (No. 229); the cell edges are 8.1965, 8.1965 and 8.1965 Å and the angles 90.00°, 90.00° and 90.00°. The asymmetric unit holds Nd at (0.0000, 0.2500, 0.5000) and Tm at (0.0000, 0.0000, 0.0000).



18.
Nd2Tm5: optimized geometry, PBE.

Its formation energy is 0.026 eV/atom. As for the size of the total moment: 0.00 μB/atom. Its uncorrected energy is -4.53 eV per atom. The value obtained for the density of states at the Fermi level is 19.1 states/eV/cell.

The structure belongs to space group C2/m (No. 12); the cell edges are 11.1678, 5.0162 and 7.9357 Å and the angles 90.00°, 98.24° and 90.00°. The asymmetric unit holds Nd at (0.0718, 0.0000, 0.2161), Tm at (0.0000, 0.5000, 0.5000), Tm at (0.1434, 0.5000, 0.9282) and Tm at (0.2137, 0.0000, 0.6432).



19.
NdTm2: optimized geometry, PBE.

Its formation energy is 0.281 eV/atom. As for the size of the total moment: 0.92 μB/atom. Its uncorrected energy is -4.29 eV per atom. The value obtained for the density of states at the Fermi level is 54.6 states/eV/cell.

The structure belongs to space group Fd-3m (No. 227, origin choice 2); the cell edges are 9.3891, 9.3891 and 9.3891 Å and the angles 90.00°, 90.00° and 90.00°. The asymmetric unit holds Nd at (0.1250, 0.1250, 0.1250) and Tm at (0.0000, 0.0000, 0.5000).



20.
Nd5Tm: optimized geometry, PBE.

Its formation energy is 0.014 eV/atom. As for the size of the total moment: 0.00 μB/atom. Its uncorrected energy is -4.70 eV per atom. The value obtained for the density of states at the Fermi level is 16.2 states/eV/cell.

The structure belongs to space group Pmmn (No. 59, origin choice 2); the cell edges are 5.1648, 10.9343 and 7.2921 Å and the angles 90.00°, 90.00° and 90.00°. The asymmetric unit holds Nd at (0.2500, 0.0831, 0.1236), Nd at (0.2500, 0.0850, 0.6267), Nd at (0.2500, 0.7500, 0.6263) and Tm at (0.2500, 0.7500, 0.1230).



21.
Nd2Tm: optimized geometry, PBE.

Its formation energy is 0.112 eV/atom. As for the size of the total moment: 0.00 μB/atom. Its uncorrected energy is -4.56 eV per atom. The value obtained for the density of states at the Fermi level is 20.9 states/eV/cell.

The structure belongs to space group C2/m (No. 12); the cell edges are 11.1628, 5.9874 and 6.0147 Å and the angles 90.00°, 90.64° and 90.00°. The asymmetric unit holds Nd at (0.0727, 0.0000, 0.2447), Nd at (0.2423, 0.5000, 0.2717) and Tm at (0.0856, 0.5000, 0.7628).



22.
NdTm: optimized geometry, PBE.

Its formation energy is 0.093 eV/atom. As for the size of the total moment: 0.00 μB/atom. Its uncorrected energy is -4.53 eV per atom. The value obtained for the density of states at the Fermi level is 3.4 states/eV/cell.

The structure belongs to space group Pm-3m (No. 221); the cell edges are 4.0392, 4.0392 and 4.0392 Å and the angles 90.00°, 90.00° and 90.00°. The asymmetric unit holds Nd at (0.0000, 0.0000, 0.0000) and Tm at (0.5000, 0.5000, 0.5000).



23.
Nd6Tm7: optimized geometry, PBE.

Its formation energy is 0.257 eV/atom. As for the size of the total moment: 0.79 μB/atom. Its uncorrected energy is -4.35 eV per atom. The value obtained for the density of states at the Fermi level is 81.3 states/eV/cell.

The structure belongs to space group R-3m (No. 166, hexagonal axes); the cell edges are 6.6862, 6.6862 and 34.6935 Å and the angles 90.00°, 90.00° and 120.00°. The asymmetric unit holds Nd at (0.0000, 0.0000, 0.0481), Nd at (0.0000, 0.0000, 0.1512), Nd at (0.0000, 0.0000, 0.3333), Tm at (0.0000, 0.0000, 0.5000) and Tm at (0.0022, 0.5011, 0.9120).



24.
Nd8Tm3: optimized geometry, PBE.

Its formation energy is 0.455 eV/atom. As for the size of the total moment: 0.00 μB/atom. Its uncorrected energy is -4.23 eV per atom. The value obtained for the density of states at the Fermi level is 37.2 states/eV/cell.

The structure belongs to space group R-3 (No. 148, hexagonal axes); the cell edges are 9.8069, 9.8069 and 13.8918 Å and the angles 90.00°, 90.00° and 120.00°. The asymmetric unit holds Nd at (0.0000, 0.0000, 0.1101), Nd at (0.0364, 0.2306, 0.6143) and Tm at (0.0000, 0.5000, 0.5000).